# Cs2Rb4Co2O5

A relaxed structure of Cs2Rb4Co2O5 (PBE with a Hubbard U, OQMD via LeMat-Bulk).

```
Cs2Rb4Co2O5
1.0
3.605 -5.983 0.000
3.605 5.983 0.000
-0.590 0.000 7.000
O Rb Co Cs
5 4 2 2
direct
0.523 0.778 0.614
0.924 0.193 0.034
0.193 0.924 0.034
0.778 0.523 0.614
0.394 0.394 0.265
0.694 0.694 0.990
0.565 0.144 0.816
0.144 0.565 0.816
0.989 0.989 0.642
0.549 0.549 0.488
0.155 0.155 0.107
0.101 0.595 0.317
0.595 0.101 0.317
```

Values from the calculation:
Total energy ... -4.231 eV/atom